# 1
A relaxed structure of DyHoAl2Ni4, computed with PBE-GGA.

a = 4.1373 Å, b = 4.1373 Å, c = 8.8682 Å
α = 90.00°, β = 90.00°, γ = 120.00°
With the nearest neighbours (Å) after each atom.
Fractional coordinates of all 8 atoms:
1 Dy 0.6667 0.3333 0.0000  8 Ni 2.79-2.91
2 Al 0.0000 0.0000 0.2512  6 Ni 2.45
3 Al 0.0000 0.0000 0.7488  6 Ni 2.45
4 Ni 0.3333 0.6667 0.8118  3 Al 2.45, 3 Ni 2.64
5 Ni 0.3333 0.6667 0.1882  3 Al 2.45, 3 Ni 2.64
6 Ho 0.3333 0.6667 0.5000  8 Ni 2.77-2.90
7 Ni 0.6667 0.3333 0.6856  3 Al 2.45, 3 Ni 2.64
8 Ni 0.6667 0.3333 0.3144  3 Al 2.45, 3 Ni 2.64

Its volume is 16.43 Å³/atom. The final energy comes out at -5.46 eV/atom.

# 2
A relaxed structure of DyHoAlNi2, computed with PBE-GGA.

a = 5.3473 Å, b = 5.3473 Å, c = 5.3473 Å
α = 134.22°, β = 119.76°, γ = 78.83°
With the nearest neighbours (Å) after each atom.
Fractional coordinates of all 5 atoms:
1 Ni 0.7331 0.5000 0.2331  1 Ni 2.50, 2 Al 2.53
2 Al 0.0000 0.0000 0.0000  4 Ni 2.53
3 Ni 0.2669 0.5000 0.7669  1 Ni 2.50, 2 Al 2.53
4 Dy 0.2961 0.7961 0.5000  6 Ni 2.83-2.95, 2 Al 3.17
5 Ho 0.7039 0.2039 0.5000  6 Ni 2.83-2.95, 2 Al 3.17

Its volume is 18.45 Å³/atom. The final energy comes out at -5.37 eV/atom.

# 3
A relaxed structure of DyHoAlOs2, computed with PBE-GGA.

a = 5.5727 Å, b = 5.5727 Å, c = 5.5727 Å
α = 135.71°, β = 119.52°, γ = 77.97°
With the nearest neighbours (Å) after each atom.
Fractional coordinates of all 5 atoms:
1 Dy 0.7029 0.2029 0.5000  6 Os 3.01, 4 Al 3.31-3.32
2 Al 0.0000 0.0000 0.0000  4 Os 2.61
3 Os 0.2772 0.5000 0.7772  1 Os 2.50, 2 Al 2.61
4 Ho 0.2971 0.7971 0.5000  6 Os 3.01, 4 Al 3.31-3.32
5 Os 0.7228 0.5000 0.2228  1 Os 2.50, 2 Al 2.61

Its volume is 20.43 Å³/atom. The final energy comes out at -7.50 eV/atom.

# 4
A relaxed structure of DyHoAl4Pd2, computed with PBE-GGA.

a = 6.9492 Å, b = 5.5201 Å, c = 5.5201 Å
α = 45.78°, β = 90.00°, γ = 90.00°
With the nearest neighbours (Å) after each atom.
Fractional coordinates of all 8 atoms:
1 Al 0.6972 0.8588 0.8588  3 Pd 2.59-2.64, 1 Al 2.74
2 Al 0.8034 0.1414 0.1414  3 Pd 2.59-2.64, 1 Al 2.73
3 Al 0.1966 0.1414 0.1414  3 Pd 2.59-2.64, 1 Al 2.73
4 Pd 0.5000 0.2898 0.2898  6 Al 2.59-2.64, 1 Dy 2.87
5 Ho 0.0000 0.4279 0.4279  3 Pd 2.87-3.09, 4 Al 3.09
6 Pd 0.0000 0.7100 0.7100  6 Al 2.59-2.64, 1 Ho 2.87
7 Dy 0.5000 0.5720 0.5720  3 Pd 2.87-3.09, 4 Al 3.09
8 Al 0.3028 0.8588 0.8588  3 Pd 2.59-2.64, 1 Al 2.74

Its volume is 18.97 Å³/atom. The final energy comes out at -5.11 eV/atom.

# 5
A relaxed structure of Dy2HoAl3Si2Pd, computed with PBE-GGA.

a = 4.2475 Å, b = 6.8782 Å, c = 6.8782 Å
α = 119.99°, β = 90.00°, γ = 90.00°
With the nearest neighbours (Å) after each atom.
Fractional coordinates of all 9 atoms:
1 Al 0.5000 0.7609 0.7609  2 Si 2.67, 2 Pd 2.69, 2 Al 2.85
2 Dy 0.0000 0.9998 0.5822  1 Pd 2.88, 4 Si 2.96, 2 Al 3.18
3 Dy 0.0000 0.5822 0.9998  1 Pd 2.88, 4 Si 2.96, 2 Al 3.18
4 Si 0.5000 0.6660 0.3336  3 Al 2.67-2.68, 2 Ho 2.96, 4 Dy 2.96
5 Ho 0.0000 0.4175 0.4175  1 Pd 2.87, 4 Si 2.96, 2 Al 3.18
6 Al 0.5000 0.2389 0.0002  2 Si 2.67-2.68, 2 Pd 2.68, 2 Al 2.84-2.85
7 Al 0.5000 0.0002 0.2389  2 Si 2.67-2.68, 2 Pd 2.68, 2 Al 2.84-2.85
8 Si 0.5000 0.3336 0.6660  3 Al 2.67-2.68, 2 Ho 2.96, 4 Dy 2.96
9 Pd 0.0000 0.0009 0.0009  6 Al 2.68-2.69, 1 Ho 2.87, 2 Dy 2.88

Its volume is 19.34 Å³/atom. The final energy comes out at -5.36 eV/atom.

# 6
A relaxed structure of DyHo2Al3Si2Pd, computed with PBE-GGA.

a = 4.2428 Å, b = 6.8709 Å, c = 6.8709 Å
α = 120.01°, β = 90.00°, γ = 90.00°
With the nearest neighbours (Å) after each atom.
Fractional coordinates of all 9 atoms:
1 Pd 0.0000 0.9991 0.9991  6 Al 2.68, 2 Ho 2.87, 1 Dy 2.88
2 Al 0.5000 0.2390 0.9998  2 Si 2.67-2.68, 2 Pd 2.68, 2 Al 2.84-2.85
3 Si 0.5000 0.3331 0.6673  3 Al 2.67-2.68, 4 Ho 2.96, 2 Dy 2.96
4 Si 0.5000 0.6673 0.3331  3 Al 2.67-2.68, 4 Ho 2.96, 2 Dy 2.96
5 Al 0.5000 0.7612 0.7612  2 Si 2.68, 2 Pd 2.68, 2 Al 2.84
6 Ho 0.0000 0.5825 0.0002  1 Pd 2.87, 4 Si 2.96, 2 Al 3.17
7 Dy 0.0000 0.4179 0.4179  1 Pd 2.88, 4 Si 2.96, 2 Al 3.17
8 Ho 0.0000 0.0002 0.5825  1 Pd 2.87, 4 Si 2.96, 2 Al 3.17
9 Al 0.5000 0.9998 0.2390  2 Si 2.67-2.68, 2 Pd 2.68, 2 Al 2.84-2.85

Its volume is 19.27 Å³/atom. The final energy comes out at -5.36 eV/atom.

# 7
A relaxed structure of DyHo2Al3Si2Pt, computed with PBE-GGA.

a = 4.2143 Å, b = 6.8958 Å, c = 6.8958 Å
α = 120.00°, β = 90.00°, γ = 90.00°
With the nearest neighbours (Å) after each atom.
Fractional coordinates of all 9 atoms:
1 Al 0.5000 0.2373 0.2373  2 Pt 2.66, 2 Si 2.69, 2 Al 2.84
2 Ho 0.0000 0.9999 0.4171  1 Pt 2.87, 4 Si 2.95, 2 Al 3.18
3 Si 0.5000 0.3327 0.6669  3 Al 2.68-2.69, 4 Ho 2.95, 2 Dy 2.96
4 Dy 0.0000 0.5825 0.5825  1 Pt 2.89, 4 Si 2.96, 2 Al 3.18
5 Ho 0.0000 0.4171 0.9999  1 Pt 2.87, 4 Si 2.95, 2 Al 3.18
6 Pt 0.0000 0.0009 0.0009  6 Al 2.66-2.67, 2 Ho 2.87, 1 Dy 2.89
7 Al 0.5000 0.0002 0.7625  2 Pt 2.67, 2 Si 2.68-2.69, 2 Al 2.84
8 Al 0.5000 0.7625 0.0002  2 Pt 2.67, 2 Si 2.68-2.69, 2 Al 2.84
9 Si 0.5000 0.6669 0.3327  3 Al 2.68-2.69, 4 Ho 2.95, 2 Dy 2.96

Its volume is 19.28 Å³/atom. The final energy comes out at -5.54 eV/atom.

# 8
A relaxed structure of DyHoAl3Si2, computed with PBE-GGA.

a = 5.4657 Å, b = 5.4657 Å, c = 6.6066 Å
α = 100.21°, β = 100.21°, γ = 43.41°
With the nearest neighbours (Å) after each atom.
Fractional coordinates of all 7 atoms:
1 Si 0.0930 0.0930 0.1407  1 Si 2.38, 2 Al 2.61
2 Al 0.3052 0.3052 0.6330  2 Si 2.61, 2 Al 2.77
3 Al 0.9998 0.9998 0.4997  2 Si 2.72, 2 Ho 3.02, 2 Dy 3.02
4 Si 0.9070 0.9070 0.8601  1 Si 2.38, 2 Al 2.61
5 Al 0.6950 0.6950 0.3664  2 Si 2.61, 2 Al 2.77
6 Ho 0.3804 0.3804 0.1776  5 Si 2.88-3.00, 5 Al 3.02-3.20
7 Dy 0.6196 0.6196 0.8226  5 Si 2.88-3.00, 5 Al 3.02-3.20

Its volume is 19.02 Å³/atom. The final energy comes out at -5.01 eV/atom.

# 9
A relaxed structure of DyHoAlSi2, computed with PBE-GGA.

a = 5.5858 Å, b = 5.5858 Å, c = 5.5858 Å
α = 137.24°, β = 118.59°, γ = 77.71°
With the nearest neighbours (Å) after each atom.
Fractional coordinates of all 5 atoms:
1 Si 0.2894 0.5000 0.7894  1 Si 2.40, 2 Al 2.62
2 Ho 0.7105 0.2105 0.5000  6 Si 2.99-3.01, 2 Al 3.24
3 Al 0.0000 0.0000 0.0000  4 Si 2.62
4 Dy 0.2894 0.7894 0.5000  6 Si 2.99-3.01, 2 Al 3.24
5 Si 0.7107 0.5000 0.2106  1 Si 2.40, 2 Al 2.62

Its volume is 20.21 Å³/atom. The final energy comes out at -5.47 eV/atom.

# 10
A relaxed structure of SmDy2HoAl2, computed with PBE-GGA.

a = 5.2484 Å, b = 5.2484 Å, c = 6.6794 Å
α = 90.00°, β = 90.00°, γ = 120.00°
With the nearest neighbours (Å) after each atom.
Fractional coordinates of all 6 atoms:
1 Al 0.0000 0.0000 0.5000  3 Ho 3.03, 2 Sm 3.34
2 Dy 0.6667 0.3333 0.2539  2 Dy 3.29-3.39, 3 Ho 3.45, 6 Al 3.45-3.47, 3 Sm 3.47
3 Sm 0.0000 0.0000 0.0000  5 Al 3.03-3.34
4 Dy 0.6667 0.3333 0.7461  2 Dy 3.29-3.39, 3 Ho 3.45, 6 Al 3.45-3.47, 3 Sm 3.47
5 Al 0.3333 0.6667 0.0000  3 Sm 3.03, 2 Ho 3.34
6 Ho 0.3333 0.6667 0.5000  5 Al 3.03-3.34

Its volume is 26.56 Å³/atom. The final energy comes out at -4.59 eV/atom.

# 11
A relaxed structure of Dy2HoTmAl2, computed with PBE-GGA.

a = 5.2145 Å, b = 5.2145 Å, c = 6.6130 Å
α = 90.00°, β = 90.00°, γ = 120.00°
With the nearest neighbours (Å) after each atom.
Fractional coordinates of all 6 atoms:
1 Dy 0.6667 0.3333 0.7489  2 Dy 3.29-3.32, 6 Al 3.43-3.44, 3 Tm 3.43, 3 Ho 3.44
2 Tm 0.3333 0.6667 0.5000  5 Al 3.01-3.31
3 Al 0.0000 0.0000 0.5000  3 Tm 3.01, 2 Ho 3.31
4 Ho 0.0000 0.0000 0.0000  5 Al 3.01-3.31
5 Dy 0.6667 0.3333 0.2511  2 Dy 3.29-3.32, 6 Al 3.43-3.44, 3 Tm 3.43, 3 Ho 3.44
6 Al 0.3333 0.6667 0.0000  3 Ho 3.01, 2 Tm 3.31

Its volume is 25.95 Å³/atom. The final energy comes out at -4.56 eV/atom.

# 12
A relaxed structure of DyHo2TmAl2, computed with PBE-GGA.

a = 5.2054 Å, b = 5.2054 Å, c = 6.6034 Å
α = 90.00°, β = 90.00°, γ = 120.00°
With the nearest neighbours (Å) after each atom.
Fractional coordinates of all 6 atoms:
1 Ho 0.6667 0.3333 0.2517  2 Ho 3.28-3.32, 3 Tm 3.42, 6 Al 3.42-3.43, 3 Dy 3.43
2 Tm 0.0000 0.0000 0.5000  5 Al 3.01-3.30
3 Al 0.0000 0.0000 0.0000  3 Dy 3.01, 2 Tm 3.30
4 Al 0.3333 0.6667 0.5000  3 Tm 3.01, 2 Dy 3.30
5 Ho 0.6667 0.3333 0.7483  2 Ho 3.28-3.32, 3 Tm 3.42, 6 Al 3.42-3.43, 3 Dy 3.43
6 Dy 0.3333 0.6667 0.0000  5 Al 3.01-3.30

Its volume is 25.83 Å³/atom. The final energy comes out at -4.56 eV/atom.

# 13
A relaxed structure of PrDyAl2I2, computed with PBE-GGA.

a = 4.3388 Å, b = 4.3388 Å, c = 12.4084 Å
α = 90.00°, β = 90.00°, γ = 120.00°
With the nearest neighbours (Å) after each atom.
Fractional coordinates of all 6 atoms:
1 Dy 0.0000 0.0000 0.6694  6 Al 3.11-3.35, 3 I 3.16
2 Pr 0.0000 0.0000 0.3308  6 Al 3.19-3.44, 3 I 3.26
3 I 0.6667 0.3333 0.8252  3 Dy 3.16
4 Al 0.6667 0.3333 0.4905  3 Al 2.53
5 Al 0.3333 0.6667 0.5208  3 Al 2.53
6 I 0.3333 0.6667 0.1633  3 Pr 3.26

Its volume is 33.72 Å³/atom. The final energy comes out at -4.24 eV/atom.

# 14
A relaxed structure of DyAl2In, computed with PBE-GGA.

a = 4.7732 Å, b = 6.4751 Å, c = 6.4751 Å
α = 58.87°, β = 90.00°, γ = 90.00°
With the nearest neighbours (Å) after each atom.
Fractional coordinates of all 8 atoms:
1 Dy 0.0000 0.3231 0.3231  8 Al 3.09-3.37, 4 In 3.12
2 Al 0.0000 0.8539 0.8539  2 Al 2.88, 4 In 2.94, 4 Dy 3.15-3.20
3 Dy 0.5000 0.6712 0.6712  8 Al 3.15-3.19, 4 In 3.23-3.24
4 In 0.5000 0.6848 0.1649  5 Al 2.94-2.95, 1 In 3.05, 4 Dy 3.12-3.24
5 Al 0.0000 0.8566 0.2966  4 Al 2.80-2.88, 2 In 2.94, 1 Dy 3.11
6 In 0.5000 0.1649 0.6848  5 Al 2.94-2.95, 1 In 3.05, 4 Dy 3.12-3.24
7 Al 0.0000 0.2966 0.8566  4 Al 2.80-2.88, 2 In 2.94, 1 Dy 3.11
8 Al 0.5000 0.1489 0.1489  4 Al 2.88, 2 In 2.95, 4 Dy 3.09-3.19

Its volume is 21.41 Å³/atom. The final energy comes out at -4.06 eV/atom.

# 15
A relaxed structure of Dy2AlIn5, computed with PBE-GGA.

a = 5.0879 Å, b = 6.6103 Å, c = 6.6103 Å
α = 59.68°, β = 90.00°, γ = 90.00°
With the nearest neighbours (Å) after each atom.
Fractional coordinates of all 8 atoms:
1 In 0.0000 0.3204 0.8372  1 Al 3.12, 6 In 3.14-3.40, 4 Dy 3.23-3.32
2 In 0.5000 0.1539 0.6803  2 Al 3.10, 6 In 3.12-3.46, 4 Dy 3.23-3.38
3 In 0.0000 0.8372 0.3204  1 Al 3.12, 6 In 3.14-3.40, 4 Dy 3.23-3.32
4 Dy 0.0000 0.3326 0.3326  10 In 3.22-3.32, 2 Al 3.29
5 Dy 0.5000 0.6702 0.6702  10 In 3.23-3.38, 2 Al 3.24
6 In 0.5000 0.1605 0.1605  8 In 3.14-3.41, 4 Dy 3.22-3.29
7 In 0.5000 0.6803 0.1539  2 Al 3.10, 6 In 3.12-3.46, 4 Dy 3.23-3.38
8 Al 0.0000 0.8449 0.8449  6 In 3.10-3.12, 4 Dy 3.24-3.29

Its volume is 23.99 Å³/atom. The final energy comes out at -3.66 eV/atom.

# 16
A relaxed structure of Dy2Al3In3, computed with PBE-GGA.

a = 6.4815 Å, b = 6.4815 Å, c = 4.8893 Å
α = 90.00°, β = 90.00°, γ = 120.00°
With the nearest neighbours (Å) after each atom.
Fractional coordinates of all 8 atoms:
1 In 0.8241 0.1759 0.5000  4 Al 2.99, 2 In 3.06, 4 Dy 3.14-3.24
2 In 0.3517 0.1759 0.5000  4 Al 2.99, 2 In 3.06, 4 Dy 3.14-3.24
3 In 0.8241 0.6483 0.5000  4 Al 2.99, 2 In 3.06, 4 Dy 3.14-3.24
4 Dy 0.3333 0.6667 0.5000  6 Al 3.21, 6 In 3.24
5 Al 0.5188 0.0376 0.0000  2 Al 2.87, 4 In 2.99, 2 Dy 3.21
6 Al 0.9624 0.4812 0.0000  2 Al 2.87, 4 In 2.99, 2 Dy 3.21
7 Dy 0.0000 0.0000 0.0000  6 In 3.14, 6 Al 3.25
8 Al 0.5188 0.4812 0.0000  2 Al 2.87, 4 In 2.99, 2 Dy 3.21

Its volume is 22.24 Å³/atom. The final energy comes out at -3.91 eV/atom.

# 17
A relaxed structure of Dy2Al5In, computed with PBE-GGA.

a = 4.6903 Å, b = 6.3202 Å, c = 6.3202 Å
α = 60.75°, β = 90.00°, γ = 90.00°
With the nearest neighbours (Å) after each atom.
Fractional coordinates of all 8 atoms:
1 Dy 0.5000 0.3409 0.3409  10 Al 3.07-3.27, 2 In 3.08
2 In 0.0000 0.1576 0.1576  6 Al 2.90-2.92, 4 Dy 3.08-3.20
3 Al 0.0000 0.1418 0.7041  5 Al 2.80-2.84, 1 In 2.92, 2 Dy 3.09
4 Al 0.5000 0.2933 0.8478  4 Al 2.78-2.85, 2 In 2.90, 3 Dy 3.07-3.11
5 Dy 0.0000 0.6629 0.6629  10 Al 3.11-3.17, 2 In 3.20
6 Al 0.5000 0.8478 0.2933  4 Al 2.78-2.85, 2 In 2.90, 3 Dy 3.07-3.11
7 Al 0.5000 0.8516 0.8516  6 Al 2.78-2.84
8 Al 0.0000 0.7041 0.1418  5 Al 2.80-2.84, 1 In 2.92, 2 Dy 3.09

Its volume is 20.43 Å³/atom. The final energy comes out at -4.22 eV/atom.

# 18
A relaxed structure of Dy3AlIn, computed with PBE-GGA.

a = 5.6181 Å, b = 5.6181 Å, c = 5.6181 Å
α = 90.00°, β = 90.00°, γ = 90.00°
With the nearest neighbours (Å) after each atom.
Fractional coordinates of all 5 atoms:
1 Dy 0.5000 0.5000 0.0000  2 In 2.81
2 Dy 0.5000 0.0000 0.5000  2 In 2.81
3 Al 0.0000 0.0000 0.0000  12 Dy 3.97
4 Dy 0.0000 0.5000 0.5000  2 In 2.81
5 In 0.5000 0.5000 0.5000  6 Dy 2.81

Its volume is 35.46 Å³/atom. The final energy comes out at -3.59 eV/atom.

# 19
A relaxed structure of DyAlIn2, computed with PBE-GGA.

a = 4.9772 Å, b = 6.5209 Å, c = 6.5209 Å
α = 60.39°, β = 90.00°, γ = 90.00°
With the nearest neighbours (Å) after each atom.
Fractional coordinates of all 8 atoms:
1 Al 0.5000 0.3020 0.8532  1 Al 2.94, 5 In 3.03-3.05, 4 Dy 3.22-3.28
2 In 0.5000 0.8408 0.8408  2 Al 3.05, 4 In 3.09, 4 Dy 3.19-3.28
3 In 0.0000 0.6824 0.1647  2 Al 3.04, 5 In 3.09-3.40, 4 Dy 3.17-3.33
4 In 0.0000 0.1647 0.6824  2 Al 3.04, 5 In 3.09-3.40, 4 Dy 3.17-3.33
5 Al 0.5000 0.8532 0.3020  1 Al 2.94, 5 In 3.03-3.05, 4 Dy 3.22-3.28
6 Dy 0.0000 0.6631 0.6631  8 In 3.19-3.33, 4 Al 3.22
7 In 0.0000 0.1589 0.1589  4 Al 3.03, 2 In 3.09, 4 Dy 3.18-3.28
8 Dy 0.5000 0.3348 0.3348  8 In 3.17-3.28, 4 Al 3.25-3.28

Its volume is 23.00 Å³/atom. The final energy comes out at -3.77 eV/atom.

# 20
A relaxed structure of DyAlIn2, computed with PBE-GGA.

a = 4.9623 Å, b = 6.5207 Å, c = 6.5207 Å
α = 119.35°, β = 90.00°, γ = 90.00°
With the nearest neighbours (Å) after each atom.
Fractional coordinates of all 8 atoms:
1 In 0.2500 0.8508 0.1672  3 Al 2.98-3.04, 3 In 3.08-3.15, 3 Dy 3.20
2 In 0.2500 0.8455 0.6820  6 In 3.08-3.37, 1 Al 3.09, 4 Dy 3.18-3.27
3 In 0.7500 0.6820 0.8455  6 In 3.08-3.37, 1 Al 3.09, 4 Dy 3.18-3.27
4 Dy 0.7500 0.6568 0.3323  4 Al 3.15-3.37, 8 In 3.18-3.39
5 Al 0.7500 0.1603 0.3052  2 Al 2.97, 4 In 2.98-3.09, 3 Dy 3.15-3.19
6 In 0.7500 0.1672 0.8508  3 Al 2.98-3.04, 3 In 3.08-3.15, 3 Dy 3.20
7 Al 0.2500 0.3052 0.1603  2 Al 2.97, 4 In 2.98-3.09, 3 Dy 3.15-3.19
8 Dy 0.2500 0.3323 0.6568  4 Al 3.15-3.37, 8 In 3.18-3.39

Its volume is 22.99 Å³/atom. The final energy comes out at -3.78 eV/atom.